First-principles (PBE-GGA) data for a geometry-optimized AcPmTe structure, as listed in OQMD.

POSCAR file:
```
AcPmTe
1.0
0.000 3.816 3.816
3.816 0.000 3.816
3.816 3.816 0.000
Ac Pm Te
1 1 1
Direct
0.000 0.000 0.000
0.500 0.500 0.500
0.250 0.250 0.250
```

Computed properties:
The symmetry is F-43m, No. 216. The crystal system is cubic. For the energy above the most stable polymorph in this dataset, the calculation gives 0.0000 eV/atom.

---

First-principles (PBE-GGA) data for a geometry-optimized GdEr2Cd4In2 structure, as listed in OQMD.

POSCAR file:
```
GdEr2Cd4In2
1.0
4.607 0.000 0.000
0.000 6.493 3.719
0.000 -6.493 3.719
Gd Er Cd In
1 2 4 2
Direct
0.000 0.000 0.000
0.000 0.427 0.855
0.000 0.855 0.427
0.000 0.432 0.432
0.500 0.186 0.428
0.500 0.428 0.186
0.500 0.671 0.671
0.500 0.095 0.760
0.500 0.760 0.095
```

Computed properties:
For the uncorrected energy, the calculation gives -2.9235 eV per atom. The symmetry is Amm2, No. 38. The crystal system is orthorhombic.

---

First-principles (PBE-GGA) data for a geometry-optimized Y2Ho2CI2Cl3 structure, as listed in OQMD.

POSCAR file:
```
Y2Ho2CI2Cl3
1.0
9.125 -1.907 0.000
9.125 1.907 0.000
-1.364 0.000 7.756
Y Ho C I Cl
2 2 1 2 3
Direct
0.003 0.003 0.292
0.997 0.997 0.708
0.367 0.367 0.432
0.633 0.633 0.568
0.500 0.500 0.500
0.175 0.175 0.298
0.825 0.825 0.702
0.149 0.149 0.816
0.500 0.500 0.000
0.851 0.851 0.184
```

Computed properties:
The symmetry is C2/m, No. 12. The crystal system is monoclinic. For the energy above the most stable polymorph in this dataset, the calculation gives 0.0000 eV/atom.